VASP calculation (GGA-PBE) on a relaxed LiSc3Pb crystal.

The energy above the most stable polymorph in this dataset is 0.235 eV per atom. As for the formation energy: 2.573 eV per formula unit. As for the density of states at the Fermi level: 1.20 states/eV/atom.

The structure belongs to space group Pm-3m (No. 221); the cell edges are 5.529, 5.529 and 5.529 Å and the angles 90.00°, 90.00° and 90.00°. The distinct sites, in fractional coordinates, are Li at (0.000, 0.000, 0.000), Sc at (0.000, 0.500, 0.500) and Pb at (0.500, 0.500, 0.500).

VASP calculation (GGA-PBE) on a relaxed LiScPb2 crystal.

The energy above the most stable polymorph in this dataset is 0.179 eV per atom. As for the formation energy: -0.563 eV per formula unit. As for the density of states at the Fermi level: 0.89 states/eV/atom.

The structure belongs to space group P4mm (No. 99); the cell edges are 3.993, 3.993 and 6.203 Å and the angles 90.00°, 90.00° and 90.00°. The distinct sites, in fractional coordinates, are Li at (0.000, 0.000, 0.000), Sc at (0.500, 0.500, 0.715), Pb at (0.000, 0.000, 0.518) and Pb at (0.500, 0.500, 0.203).

What did the first record say?
VASP calculation (GGA-PBE) on a relaxed LiSc3Pb crystal.

The energy above the most stable polymorph in this dataset is 0.235 eV per atom. As for the formation energy: 2.573 eV per formula unit. As for the density of states at the Fermi level: 1.20 states/eV/atom.

The structure belongs to space group Pm-3m (No. 221); the cell edges are 5.529, 5.529 and 5.529 Å and the angles 90.00°, 90.00° and 90.00°. The distinct sites, in fractional coordinates, are Li at (0.000, 0.000, 0.000), Sc at (0.000, 0.500, 0.500) and Pb at (0.500, 0.500, 0.500).

> Which value of density of states at the Fermi level does entry 1 give?

1.20 states/eV/atom

What did the second record say?
VASP calculation (GGA-PBE) on a relaxed LiScPb2 crystal.

The energy above the most stable polymorph in this dataset is 0.179 eV per atom. As for the formation energy: -0.563 eV per formula unit. As for the density of states at the Fermi level: 0.89 states/eV/atom.

The structure belongs to space group P4mm (No. 99); the cell edges are 3.993, 3.993 and 6.203 Å and the angles 90.00°, 90.00° and 90.00°. The distinct sites, in fractional coordinates, are Li at (0.000, 0.000, 0.000), Sc at (0.500, 0.500, 0.715), Pb at (0.000, 0.000, 0.518) and Pb at (0.500, 0.500, 0.203).

Please write out number 1 again, unchanged.
VASP calculation (GGA-PBE) on a relaxed LiSc3Pb crystal.

The energy above the most stable polymorph in this dataset is 0.235 eV per atom. As for the formation energy: 2.573 eV per formula unit. As for the density of states at the Fermi level: 1.20 states/eV/atom.

The structure belongs to space group Pm-3m (No. 221); the cell edges are 5.529, 5.529 and 5.529 Å and the angles 90.00°, 90.00° and 90.00°. The distinct sites, in fractional coordinates, are Li at (0.000, 0.000, 0.000), Sc at (0.000, 0.500, 0.500) and Pb at (0.500, 0.500, 0.500).